Record 1
## La2Cu2Si (GGA-PBE)

Data for a geometry-optimized La2Cu2Si structure.

## Properties
Space-group type = P4/mbm, No. 127
Distance to the lowest polymorph of the same formula = 91 meV per atom
Raw formation energy = -0.31 eV/atom
E = -5.002 eV per atom
Crystal system = tetragonal

Geometry as POSCAR:
```
La2Cu2Si
1.0
7.037 0.000 0.000
0.000 7.037 0.000
0.000 0.000 4.388
Si Cu La
2 4 4
Cartesian
0.000 0.000 0.000
3.518 3.518 0.000
2.638 6.156 0.000
6.156 4.399 0.000
4.399 0.880 0.000
0.880 2.638 0.000
1.278 4.797 2.194
4.797 5.758 2.194
5.758 2.240 2.194
2.240 1.278 2.194
```



Record 2
## Pm2Sb2H (GGA-PBE)

Data for a geometry-optimized Pm2Sb2H structure.

## Properties
Space-group type = Cmc2_1, No. 36
E = -5.066 eV per atom
Crystal system = orthorhombic

Geometry as POSCAR:
```
Pm2Sb2H
1.0
4.425 0.000 0.000
0.000 6.277 0.000
-2.212 0.000 9.314
Pm Sb H
4 4 2
Cartesian
2.212 3.619 1.684
0.000 0.178 3.106
2.212 3.317 6.209
0.000 0.481 7.630
0.000 1.907 0.090
0.000 3.355 3.918
2.212 0.216 5.396
2.212 5.046 9.224
2.212 5.791 2.363
0.000 2.652 6.951
```



Record 3
## Al2TeSe (GGA-PBE)

Data for a geometry-optimized Al2TeSe structure.

## Properties
Space-group type = Imm2, No. 44
Distance to the lowest polymorph of the same formula = 360 meV per atom
Raw formation energy = 0.01 eV/atom
E = -3.517 eV per atom
Crystal system = orthorhombic

Geometry as POSCAR:
```
Al2TeSe
1.0
-0.726 2.874 4.980
-5.475 -0.709 1.766
5.070 -2.594 -1.078
Te Al Se
1 2 1
Cartesian
0.474 0.733 3.799
-0.123 0.043 0.134
-1.797 -1.094 2.079
-2.784 0.972 3.029
```



Record 4
## La2InGaGe (GGA-PBE)

Data for a geometry-optimized La2InGaGe structure.

## Properties
Space-group type = P2_1/m, No. 11
Distance to the lowest polymorph of the same formula = 0 meV per atom
E = -4.643 eV per atom
Crystal system = monoclinic

Geometry as POSCAR:
```
La2InGaGe
1.0
4.810 0.000 0.000
0.000 7.163 1.080
0.000 -1.746 7.743
La In Ga Ge
4 2 2 2
Cartesian
3.608 4.979 5.185
3.608 5.318 0.946
1.203 0.438 3.638
1.203 0.099 7.877
1.203 4.085 3.027
3.608 1.332 5.797
1.203 2.836 5.880
3.608 2.581 2.944
1.203 4.991 7.143
3.608 0.427 1.681
```



Record 5
## Ti7Cu2Ir2 (GGA-PBE)

Data for a geometry-optimized Ti7Cu2Ir2 structure.

## Properties
Space-group type = Cmmm, No. 65
E = -7.356 eV per atom
Crystal system = orthorhombic

Geometry as POSCAR:
```
Ti7Cu2Ir2
1.0
5.526 -0.002 -0.688
0.003 6.525 0.002
-1.031 -0.002 5.473
Ti Cu Ir
7 2 2
Cartesian
5.012 1.855 2.049
1.734 4.664 5.130
-0.513 4.666 2.738
2.764 1.857 -0.343
0.000 0.000 0.000
2.250 4.769 2.394
2.248 1.753 2.393
3.596 6.523 1.131
0.902 -0.002 3.656
3.637 3.259 3.871
0.861 3.262 0.916
```



Record 6
## Nd3Ru2Br (GGA-PBE)

Data for a geometry-optimized Nd3Ru2Br structure.

## Properties
Space-group type = P4/mmm, No. 123
Raw formation energy = -0.54 eV/atom
E = -6.299 eV per atom
Crystal system = tetragonal

Geometry as POSCAR:
```
Nd3Ru2Br
1.0
3.482 0.000 0.000
0.000 3.482 0.000
0.000 0.000 11.932
Nd Ru Br
3 2 1
Cartesian
0.000 0.000 0.000
0.000 0.000 8.391
0.000 0.000 3.542
1.741 1.741 10.062
1.741 1.741 1.871
1.741 1.741 5.966
```



Record 7
## LiAc2PaO6 (GGA-PBE)

Data for a geometry-optimized LiAc2PaO6 structure.

## Properties
Space-group type = P4/mmm, No. 123
Raw formation energy = -3.07 eV/atom
E = -8.007 eV per atom
Crystal system = tetragonal

Geometry as POSCAR:
```
LiAc2PaO6
1.0
4.172 0.000 0.000
0.000 4.172 0.000
0.000 0.000 8.962
Li Ac Pa O
1 2 1 6
Cartesian
2.086 2.086 4.481
0.000 0.000 6.128
0.000 0.000 2.835
2.086 2.086 0.000
2.086 0.000 0.000
2.086 0.000 4.481
0.000 2.086 0.000
0.000 2.086 4.481
2.086 2.086 6.770
2.086 2.086 2.193
```



Record 8
## AcHoGaOs (GGA-PBE)

Data for a geometry-optimized AcHoGaOs structure.

## Properties
Space-group type = F-43m, No. 216
E = -5.852 eV per atom
Crystal system = cubic

Geometry as POSCAR:
```
AcHoGaOs
1.0
-0.100 2.372 -4.565
-4.214 -0.258 -2.942
-2.932 4.176 -0.666
Ac Os Ho Ga
1 1 1 1
Cartesian
0.000 0.000 0.000
-5.434 4.717 -6.130
-3.623 3.145 -4.087
-1.811 1.572 -2.043
```



Record 9
## Ca6Bi2NF (GGA-PBE)

Data for a geometry-optimized Ca6Bi2NF structure.

## Properties
Space-group type = I4/mmm, No. 139
Raw formation energy = -1.19 eV/atom
E = -4.187 eV per atom
Crystal system = tetragonal

Geometry as POSCAR:
```
Ca6Bi2NF
1.0
7.116 0.000 0.000
0.000 7.116 0.000
0.000 0.000 9.868
Ca Bi N F
12 4 2 2
Cartesian
3.558 1.778 2.549
3.558 1.778 7.319
0.000 5.338 2.385
0.000 5.338 7.483
1.861 0.080 4.934
5.255 0.080 4.934
1.860 3.474 4.934
5.255 3.474 4.934
5.418 3.642 0.000
1.698 3.642 0.000
1.697 7.036 0.000
5.419 7.036 0.000
3.558 5.337 2.467
0.000 1.780 7.401
3.558 5.337 7.401
0.000 1.780 2.467
3.558 1.777 4.934
0.000 5.339 0.000
0.000 5.337 4.934
3.558 1.779 0.000
```



Record 10
## NdDyTcAg (GGA-PBE)

Data for a geometry-optimized NdDyTcAg structure.

## Properties
Space-group type = F-43m, No. 216
E = -5.685 eV per atom
Crystal system = cubic

Geometry as POSCAR:
```
NdDyTcAg
1.0
-0.220 3.461 3.673
-0.769 -1.437 4.782
3.744 0.344 3.374
Nd Tc Ag Dy
1 1 1 1
Cartesian
1.378 1.184 5.914
2.067 1.777 8.872
0.689 0.592 2.957
0.000 0.000 0.000
```



Record 11
## InPAu2 (GGA-PBE)

Data for a geometry-optimized InPAu2 structure.

## Properties
Space-group type = Fm-3m, No. 225
Distance to the lowest polymorph of the same formula = 290 meV per atom
E = -3.431 eV per atom
Crystal system = cubic

Geometry as POSCAR:
```
InPAu2
1.0
0.000 3.364 3.364
3.364 0.000 3.364
3.364 3.364 0.000
P Au In
1 2 1
Cartesian
0.000 0.000 0.000
1.682 1.682 1.682
5.047 5.047 5.047
3.364 3.364 3.364
```



Record 12
## KIN2F (GGA-PBE)

Data for a geometry-optimized KIN2F structure.

## Properties
Space-group type = P4/mmm, No. 123
Distance to the lowest polymorph of the same formula = 864 meV per atom
Raw formation energy = 1.35 eV/atom
E = -2.879 eV per atom
Crystal system = tetragonal

Geometry as POSCAR:
```
KIN2F
1.0
5.671 0.000 0.000
0.000 5.671 0.000
0.000 0.000 4.780
I K N F
1 1 2 1
Cartesian
2.835 2.835 2.390
0.000 0.000 0.000
0.000 2.835 0.000
2.835 0.000 0.000
0.000 0.000 2.390
```